Record 1
Crystalline Mg8SnPb2 at its relaxed geometry. Source: Alexandria via LeMat-Bulk, functional PBE-GGA.

## Properties
Energy above the lowest structure with this stoichiometry = 0.0336 eV per atom
E_form = -30 meV per atom
Volume = 273.5 Å³/cell

a = 4.6609 Å, b = 8.4475 Å, c = 8.4569 Å
α = 119.96°, β = 106.00°, γ = 90.00°
With the nearest neighbours (Å) after each atom.
Element x y z (fractional)
Mg 0.0000 0.2722 0.0000  2 Pb 3.08, 6 Mg 3.18-3.24, 2 Sn 3.27
Mg 0.6619 0.9021 0.3239  3 Pb 3.09-3.17, 1 Sn 3.14, 7 Mg 3.20-3.38
Mg 0.8419 0.8419 0.6838  8 Mg 3.18-3.22, 2 Sn 3.20, 2 Pb 3.30
Mg 0.3381 0.5782 0.6761  3 Pb 3.09-3.17, 1 Sn 3.14, 7 Mg 3.20-3.38
Mg 0.1581 0.1581 0.3162  8 Mg 3.18-3.22, 2 Sn 3.20, 2 Pb 3.30
Mg 0.3381 0.0979 0.6761  3 Pb 3.09-3.17, 1 Sn 3.14, 7 Mg 3.20-3.38
Mg 0.6619 0.4218 0.3239  3 Pb 3.09-3.17, 1 Sn 3.14, 7 Mg 3.20-3.38
Mg 0.0000 0.7278 0.0000  2 Pb 3.08, 6 Mg 3.18-3.24, 2 Sn 3.27
Sn 0.5000 0.0000 0.0000  12 Mg 3.14-3.27
Pb 0.1736 0.6736 0.3471  10 Mg 3.08-3.30
Pb 0.8264 0.3264 0.6529  10 Mg 3.08-3.30

***

Record 2
Crystalline MgSnPb2 at its relaxed geometry. Source: Alexandria via LeMat-Bulk, functional PBE-GGA.

## Properties
Energy above the lowest structure with this stoichiometry = 0.0010 eV per atom
E_form = 7 meV per atom
Volume = 113.2 Å³/cell

a = 3.5207 Å, b = 3.5207 Å, c = 9.1342 Å
α = 90.00°, β = 90.00°, γ = 90.00°
With the nearest neighbours (Å) after each atom.
Element x y z (fractional)
Sn 0.5000 0.5000 0.5000  8 Pb 3.46, 4 Sn 3.52
Pb 0.0000 0.0000 0.7638  4 Mg 3.29, 4 Sn 3.46, 4 Pb 3.52
Pb 0.0000 0.0000 0.2362  4 Mg 3.29, 4 Sn 3.46, 4 Pb 3.52
Mg 0.5000 0.5000 0.0000  8 Pb 3.29, 4 Mg 3.52

***

Record 3
Crystalline Mg2SnPb2 at its relaxed geometry. Source: Alexandria via LeMat-Bulk, functional PBE-GGA.

## Properties
Energy above the lowest structure with this stoichiometry = 0.0000 eV per atom
E_form = -39 meV per atom
Volume = 275.4 Å³/cell

a = 5.1502 Å, b = 6.9791 Å, c = 8.8043 Å
α = 113.35°, β = 107.01°, γ = 90.00°
With the nearest neighbours (Å) after each atom.
Element x y z (fractional)
Mg 0.8188 0.3105 0.1376  3 Sn 3.13-3.14, 5 Pb 3.19-3.33, 3 Mg 3.33-3.37
Mg 0.1812 0.1730 0.8624  3 Sn 3.13-3.14, 5 Pb 3.19-3.33, 3 Mg 3.33-3.37
Mg 0.1812 0.6895 0.8624  3 Sn 3.13-3.14, 5 Pb 3.19-3.33, 3 Mg 3.33-3.37
Mg 0.8188 0.8270 0.1376  3 Sn 3.13-3.14, 5 Pb 3.19-3.33, 3 Mg 3.33-3.37
Pb 0.3546 0.6046 0.2093  6 Mg 3.19-3.21, 2 Pb 3.42, 2 Sn 3.49
Pb 0.0011 0.7511 0.5022  4 Mg 3.23-3.33, 2 Sn 3.40, 4 Pb 3.42-3.49
Pb 0.6454 0.3954 0.7907  6 Mg 3.19-3.21, 2 Pb 3.42, 2 Sn 3.49
Pb 0.9989 0.2489 0.4978  4 Mg 3.23-3.33, 2 Sn 3.40, 4 Pb 3.42-3.49
Sn 0.6460 0.8960 0.7920  6 Mg 3.13-3.14, 4 Pb 3.40-3.49
Sn 0.3540 0.1040 0.2080  6 Mg 3.13-3.14, 4 Pb 3.40-3.49

***

Record 4
Crystalline MgSn2Pb6 at its relaxed geometry. Source: Alexandria via LeMat-Bulk, functional PBE-GGA.

## Properties
E_form = 42 meV per atom
Volume = 544.2 Å³/cell

a = 6.4247 Å, b = 9.2726 Å, c = 9.2726 Å
α = 96.28°, β = 95.11°, γ = 95.11°
With the nearest neighbours (Å) after each atom.
Element x y z (fractional)
Pb 0.2201 0.5882 0.9270  1 Mg 3.20, 2 Sn 3.29-3.36, 4 Pb 3.43-3.58
Pb 0.5038 0.3147 0.7378  4 Pb 3.24-3.49, 1 Mg 3.26, 2 Sn 3.41-3.42
Pb 0.2582 0.2442 0.0478  1 Mg 3.11, 1 Sn 3.39
Pb 0.7418 0.7558 0.9522  1 Mg 3.11, 1 Sn 3.39
Pb 0.4962 0.6853 0.2622  4 Pb 3.24-3.49, 1 Mg 3.26, 2 Sn 3.41-3.42
Pb 0.9962 0.2622 0.6853  4 Pb 3.24-3.49, 1 Mg 3.26, 2 Sn 3.41-3.42
Pb 0.0038 0.7378 0.3147  4 Pb 3.24-3.49, 1 Mg 3.26, 2 Sn 3.41-3.42
Pb 0.7201 0.9270 0.5882  1 Mg 3.20, 2 Sn 3.29-3.36, 4 Pb 3.43-3.58
Pb 0.7582 0.0478 0.2442  1 Mg 3.11, 1 Sn 3.39
Pb 0.2799 0.0730 0.4118  1 Mg 3.20, 2 Sn 3.29-3.36, 4 Pb 3.43-3.58
Pb 0.2418 0.9522 0.7558  1 Mg 3.11, 1 Sn 3.39
Pb 0.7799 0.4118 0.0730  1 Mg 3.20, 2 Sn 3.29-3.36, 4 Pb 3.43-3.58
Sn 0.1131 0.3929 0.3697  4 Sn 3.22-3.46, 5 Pb 3.29-3.42
Sn 0.3869 0.6303 0.6071  4 Sn 3.22-3.46, 5 Pb 3.29-3.42
Sn 0.8869 0.6071 0.6303  4 Sn 3.22-3.46, 5 Pb 3.29-3.42
Sn 0.6131 0.3697 0.3929  4 Sn 3.22-3.46, 5 Pb 3.29-3.42
Mg 0.7500 0.0853 0.9147  6 Pb 3.11-3.26
Mg 0.2500 0.9147 0.0853  6 Pb 3.11-3.26

***

Record 5
Crystalline MgSn6Pb at its relaxed geometry. Source: Alexandria via LeMat-Bulk, functional PBE-GGA.

## Properties
E_form = 31 meV per atom
Volume = 218.6 Å³/cell

a = 4.5921 Å, b = 4.5921 Å, c = 10.3686 Å
α = 90.00°, β = 90.00°, γ = 90.00°
With the nearest neighbours (Å) after each atom.
Element x y z (fractional)
Sn 0.0000 0.5000 0.7377  8 Sn 3.25-3.56, 2 Mg 3.37, 2 Pb 3.56
Sn 0.5000 0.0000 0.7377  8 Sn 3.25-3.56, 2 Mg 3.37, 2 Pb 3.56
Sn 0.0000 0.5000 0.2623  8 Sn 3.25-3.56, 2 Mg 3.37, 2 Pb 3.56
Sn 0.5000 0.0000 0.2623  8 Sn 3.25-3.56, 2 Mg 3.37, 2 Pb 3.56
Sn 0.5000 0.5000 0.0000  4 Pb 3.25, 8 Sn 3.56
Sn 0.5000 0.5000 0.5000  4 Mg 3.25, 8 Sn 3.37
Mg 0.0000 0.0000 0.5000  12 Sn 3.25-3.37
Pb 0.0000 0.0000 0.0000  12 Sn 3.25-3.56

***

Record 6
Crystalline Mg6SnPb5 at its relaxed geometry. Source: Alexandria via LeMat-Bulk, functional PBE-GGA.

## Properties
E_form = -56 meV per atom
Volume = 311.5 Å³/cell

a = 5.2861 Å, b = 9.1584 Å, c = 9.1584 Å
α = 119.61°, β = 107.23°, γ = 107.23°
With the nearest neighbours (Å) after each atom.
Element x y z (fractional)
Mg 0.2635 0.7645 0.7645  2 Sn 3.15-3.20, 6 Pb 3.24-3.33, 1 Mg 3.51
Mg 0.7365 0.2355 0.2355  2 Sn 3.15-3.20, 6 Pb 3.24-3.33, 1 Mg 3.51
Mg 0.7552 0.9200 0.5942  1 Sn 3.15, 7 Pb 3.19-3.30
Mg 0.2448 0.0800 0.4058  1 Sn 3.15, 7 Pb 3.19-3.30
Mg 0.7552 0.5942 0.9200  1 Sn 3.15, 7 Pb 3.19-3.30
Mg 0.2448 0.4058 0.0800  1 Sn 3.15, 7 Pb 3.19-3.30
Pb 0.0000 0.3356 0.6644  8 Mg 3.23-3.30
Pb 0.0000 0.6644 0.3356  8 Mg 3.23-3.30
Pb 0.5000 0.5000 0.5000  8 Mg 3.21-3.33
Pb 0.5000 0.8282 0.1718  8 Mg 3.19-3.24
Pb 0.5000 0.1718 0.8282  8 Mg 3.19-3.24
Sn 0.0000 0.0000 0.0000  8 Mg 3.15-3.20

***

Record 7
Crystalline Mg5SnPb6 at its relaxed geometry. Source: Alexandria via LeMat-Bulk, functional PBE-GGA.

## Properties
E_form = -15 meV per atom
Volume = 323.3 Å³/cell

a = 5.4169 Å, b = 9.3733 Å, c = 9.3733 Å
α = 121.52°, β = 107.17°, γ = 107.17°
With the nearest neighbours (Å) after each atom.
Element x y z (fractional)
Pb 0.7465 0.5742 0.9177  7 Mg 3.23-3.33, 1 Sn 3.37, 1 Pb 3.59
Pb 0.2375 0.7393 0.7393  6 Mg 3.19-3.26, 2 Sn 3.29-3.33, 1 Pb 3.49
Pb 0.2535 0.0823 0.4258  7 Mg 3.23-3.33, 1 Sn 3.37, 1 Pb 3.59
Pb 0.7625 0.2607 0.2607  6 Mg 3.19-3.26, 2 Sn 3.29-3.33, 1 Pb 3.49
Pb 0.7465 0.9177 0.5742  7 Mg 3.23-3.33, 1 Sn 3.37, 1 Pb 3.59
Pb 0.2535 0.4258 0.0823  7 Mg 3.23-3.33, 1 Sn 3.37, 1 Pb 3.59
Sn 0.0000 0.0000 0.0000  8 Pb 3.29-3.37, 2 Mg 3.65
Mg 0.5000 0.5000 0.5000  8 Pb 3.19-3.33
Mg 0.0000 0.6664 0.3336  8 Pb 3.23-3.27
Mg 0.5000 0.1617 0.8383  8 Pb 3.26-3.31
Mg 0.0000 0.3336 0.6664  8 Pb 3.23-3.27
Mg 0.5000 0.8383 0.1617  8 Pb 3.26-3.31

***

Record 8
Crystalline Mg4SnPb5 at its relaxed geometry. Source: Alexandria via LeMat-Bulk, functional PBE-GGA.

## Properties
E_form = -38 meV per atom
Volume = 268.0 Å³/cell

a = 3.5283 Å, b = 3.5283 Å, c = 21.5288 Å
α = 90.00°, β = 90.00°, γ = 90.00°
With the nearest neighbours (Å) after each atom.
Element x y z (fractional)
Pb 0.5000 0.5000 0.5000  8 Mg 3.26, 4 Pb 3.53
Pb 0.5000 0.5000 0.6942  8 Mg 3.24-3.25, 4 Pb 3.53
Pb 0.5000 0.5000 0.8889  4 Mg 3.28, 4 Sn 3.46, 4 Pb 3.53
Pb 0.5000 0.5000 0.1111  4 Mg 3.28, 4 Sn 3.46, 4 Pb 3.53
Pb 0.5000 0.5000 0.3058  8 Mg 3.24-3.25, 4 Pb 3.53
Mg 0.0000 0.0000 0.7900  8 Pb 3.24-3.28, 4 Mg 3.53
Mg 0.0000 0.0000 0.4028  8 Pb 3.25-3.26, 4 Mg 3.53
Mg 0.0000 0.0000 0.5972  8 Pb 3.25-3.26, 4 Mg 3.53
Mg 0.0000 0.0000 0.2100  8 Pb 3.24-3.28, 4 Mg 3.53
Sn 0.0000 0.0000 0.0000  8 Pb 3.46, 4 Sn 3.53